Compound: Ga2AgGeS6
Source: Alexandria
Functional: PBE
Structure: relaxed

Cell and atoms, written as POSCAR:
```
Ga2AgGeS6
1.0
6.6071 0.0732 0.0760
2.2212 8.3655 -0.1534
2.2212 -0.4633 8.3541
S Ga Ag Ge
12 4 2 2
Cartesian
5.4903 0.7198 5.2826
2.1868 5.2157 0.8771
6.1837 0.3132 1.6812
2.8801 1.6318 0.3373
6.0458 4.2882 5.8614
9.3493 5.7350 4.5405
1.7002 2.2404 3.7361
5.5592 7.2555 2.9940
5.0037 3.6871 2.4153
8.1694 6.3435 7.9393
8.8627 2.7596 7.3995
4.8658 7.6621 6.5954
6.0816 2.0273 3.4494
8.2715 4.6400 6.1608
4.9679 5.9480 4.8272
2.7780 3.3353 2.1158
3.8730 7.3655 0.8469
7.1765 0.6099 7.4298
7.1765 6.7494 1.5138
3.8730 1.2260 6.7629
```

Values from the calculation:
Symmetry ... C2/c (15)
Formation energy without anion corrections ... -0.280 eV per atom
E_tot ... -4.108 eV/atom
Mass density ... 3.71 Mg/m³